# GGA-PBE La12Co6Bi, relaxed
data_La12Co6Bi
_chemical_formula_sum 'La12 Co6 Bi1'
_space_group_name_H-M_alt 'P 1'
_space_group_IT_number 1
_cell_length_a 8.8287
_cell_length_b 8.8287
_cell_length_c 8.8287
_cell_angle_alpha 109.47
_cell_angle_beta 109.47
_cell_angle_gamma 109.47
loop_
_space_group_symop_operation_xyz
'x,y,z'
loop_
_atom_site_label
_atom_site_fract_x
_atom_site_fract_y
_atom_site_fract_z
_atom_site_occupancy
La1 0.1243 0.3142 0.8101 1
La2 0.1899 0.5041 0.3142 1
La3 0.1899 0.8757 0.6858 1
La4 0.3142 0.1899 0.5041 1
La5 0.3142 0.8101 0.1243 1
La6 0.4959 0.6858 0.8101 1
La7 0.5041 0.3142 0.1899 1
La8 0.6858 0.1899 0.8757 1
La9 0.6858 0.8101 0.4959 1
La10 0.8101 0.1243 0.3142 1
La11 0.8101 0.4959 0.6858 1
La12 0.8757 0.6858 0.1899 1
Co1 0.1197 0.5000 0.6197 1
Co2 0.3803 0.8803 0.5000 1
Co3 0.5000 0.3803 0.8803 1
Co4 0.5000 0.6197 0.1197 1
Co5 0.6197 0.1197 0.5000 1
Co6 0.8803 0.5000 0.3803 1
Bi1 0.0000 0.0000 0.0000 1
# Space-group type: Im-3
# ΔH_f (0 K), eV per atom: -0.2246